Entry 1:
# CaPt3S, relaxed, DFT PBE
# polymorph energy (0 for the lowest one): 0.000 eV per atom
# formation energy (no corrections): -0.36 eV per atom
data_CaPt3S
_chemical_formula_sum 'Ca1 Pt3 S1'
_space_group_name_H-M_alt 'P m -3 m'
_space_group_IT_number 221
_space_group_name_Hall '-P 4 2 3'
_cell_length_a 4.610
_cell_length_b 4.610
_cell_length_c 4.610
_cell_angle_alpha 90.00
_cell_angle_beta 90.00
_cell_angle_gamma 90.00
loop_
_atom_site_label
_atom_site_type_symbol
_atom_site_fract_x
_atom_site_fract_y
_atom_site_fract_z
Ca1 Ca 0.000 0.000 0.000
Pt1 Pt 0.000 0.500 0.500
S1 S 0.500 0.500 0.500

Entry 2:
# TaHg2P, relaxed, DFT PBE
# calculated formation energy: 99 meV per atom
data_TaHg2P
_chemical_formula_sum 'Ta2 Hg4 P2'
_space_group_name_H-M_alt 'I m m m'
_space_group_IT_number 71
_space_group_name_Hall '-I 2 2'
_cell_length_a 2.982
_cell_length_b 3.955
_cell_length_c 14.761
_cell_angle_alpha 90.00
_cell_angle_beta 90.00
_cell_angle_gamma 90.00
loop_
_atom_site_label
_atom_site_type_symbol
_atom_site_fract_x
_atom_site_fract_y
_atom_site_fract_z
Ta1 Ta 0.000 0.000 0.000
Hg1 Hg 0.000 0.500 0.319
P1 P 0.000 0.000 0.500